Sr3PuTh3N8 | GGA-PBE | relaxed

**Calculated volume**: 281 Å³ per cell
**Raw total energy**: -8.42 eV/atom
**Uncorrected formation energy**: -1.200 eV/atom

```
data_Sr3PuTh3N8
_chemical_formula_sum 'Sr3 Pu1 Th3 N8'
_symmetry_space_group_name_H-M 'P 1'
_symmetry_Int_Tables_number 1
_symmetry_space_group_name_Hall 'P 1'
_cell_length_a 7.382
_cell_length_b 7.382
_cell_length_c 7.382
_cell_angle_alpha 59.45
_cell_angle_beta 59.45
_cell_angle_gamma 59.45
loop_
_atom_site_label
_atom_site_type_symbol
_atom_site_fract_x
_atom_site_fract_y
_atom_site_fract_z
Sr1 Sr 0.000 0.500 0.500
Sr2 Sr 0.500 0.000 0.500
Sr3 Sr 0.500 0.500 0.000
Pu1 Pu 0.500 0.500 0.500
Th1 Th 0.000 0.000 0.500
Th2 Th 0.000 0.500 0.000
Th3 Th 0.500 0.000 0.000
N1 N 0.237 0.237 0.237
N2 N 0.262 0.711 0.711
N3 N 0.289 0.289 0.738
N4 N 0.289 0.738 0.289
N5 N 0.711 0.262 0.711
N6 N 0.711 0.711 0.262
N7 N 0.738 0.289 0.289
N8 N 0.763 0.763 0.763
```